{"formula": "Li2CaSbSe4", "functional": "PBE", "state": "relaxed", "formation_energy_uncorrected_ev_per_atom": -0.98, "vol_a3_per_atom": 23.28, "space_group": "I-4m2 (119)", "lattice": [[-3.453, 4.548, -0.114], [-3.625, -2.664, 3.518], [6.287, 1.257, 2.794]], "species": ["Li", "Li", "Ca", "Sb", "Se", "Se", "Se", "Se"], "frac_coords": [[0.250, 0.750, 0.500], [0.000, 0.000, 0.000], [0.500, 0.500, 0.000], [0.750, 0.250, 0.500], [0.990, 0.490, 0.981], [0.510, 0.010, 0.019], [0.761, 0.760, 0.521], [0.239, 0.239, 0.479]]}

***

{"formula": "LiCaSbSe3", "functional": "PBE", "state": "relaxed", "formation_energy_uncorrected_ev_per_atom": -1.02, "vol_a3_per_atom": 25.55, "space_group": "P2_1/m (11)", "lattice": [[4.089, 0.000, 0.000], [0.000, 8.736, 0.220], [0.000, -2.077, 8.533]], "species": ["Li", "Li", "Ca", "Ca", "Sb", "Sb", "Se", "Se", "Se", "Se", "Se", "Se"], "frac_coords": [[0.250, 0.087, 0.591], [0.750, 0.913, 0.409], [0.250, 0.198, 0.245], [0.750, 0.802, 0.755], [0.250, 0.673, 0.153], [0.750, 0.327, 0.847], [0.750, 0.891, 0.112], [0.250, 0.109, 0.888], [0.250, 0.790, 0.505], [0.750, 0.210, 0.495], [0.750, 0.431, 0.170], [0.250, 0.569, 0.830]]}

***

Which formula does entry 1 have?
Li2CaSbSe4